A relaxed MgTi4MnZnNiO12 crystal. Source: Alexandria, functional PBE with a Hubbard U.

a = 5.1235 Å, b = 5.5583 Å, c = 8.8806 Å
α = 105.34°, β = 90.04°, γ = 117.40°
Space group P1 (No. 1)
Symmetry-distinct sites (fractional):
Mg 0.0000 0.0000 0.0000 (multiplicity 1)
Ti 0.1793 0.3738 0.3907 (multiplicity 1)
Ti 0.2535 0.5056 0.7517 (multiplicity 1)
Ti 0.6898 0.3712 0.8931 (multiplicity 1)
Ti 0.7472 0.5037 0.2431 (multiplicity 1)
Mn 0.9290 0.8626 0.6389 (multiplicity 1)
Zn 0.5067 0.0198 0.4970 (multiplicity 1)
Ni 0.4418 0.8855 0.1448 (multiplicity 1)
O 0.0085 0.6756 0.8013 (multiplicity 1)
O 0.0284 0.6701 0.4251 (multiplicity 1)
O 0.4116 0.2063 0.7082 (multiplicity 1)
O 0.4252 0.1985 0.3425 (multiplicity 1)
O 0.4612 0.1975 0.0380 (multiplicity 1)
O 0.4606 0.6722 0.6010 (multiplicity 1)
O 0.5027 0.6733 0.2913 (multiplicity 1)
O 0.5333 0.6785 0.9345 (multiplicity 1)
O 0.9001 0.1938 0.2063 (multiplicity 1)
O 0.9328 0.2008 0.8477 (multiplicity 1)
O 0.9589 0.2026 0.5376 (multiplicity 1)
O 0.9771 0.6764 0.1006 (multiplicity 1)

volume = 214.30 Å³ per cell
VASP energy = -7.7289 eV per atom